(1)
# V2CuIr2

Crystalline V2CuIr2 at its relaxed geometry (PBE, Alexandria).

Computed properties:
- ΔE_f: -137.4 meV/atom
- Calculated total energy: -8.149 eV/atom
- Energy above the most stable polymorph in this dataset: 84.2 meV/atom

Cell lengths 7.374, 7.374, 2.720 Å; angles 90.00, 90.00, 90.00 degrees
Space group P4/mbm (No. 127)
Asymmetric unit:
V 0.151 0.349 0.000 x4
Cu 0.000 0.000 0.000 x2
Ir 0.144 0.644 0.500 x4

=====

(2)
# V2CuIr2

Crystalline V2CuIr2 at its relaxed geometry (PBE, Alexandria).

Computed properties:
- ΔE_f: -221.6 meV/atom
- Calculated total energy: -8.233 eV/atom
- Energy above the most stable polymorph in this dataset: 0.0 meV/atom

Cell lengths 7.280, 7.280, 2.770 Å; angles 90.00, 90.00, 90.00 degrees
Space group P4/mbm (No. 127)
Asymmetric unit:
V 0.161 0.339 0.000 x4
Cu 0.000 0.000 0.500 x2
Ir 0.137 0.637 0.500 x4

=====

(3)
# VCuIr2

Crystalline VCuIr2 at its relaxed geometry (PBE, Alexandria).

Computed properties:
- ΔE_f: -224.3 meV/atom
- Calculated total energy: -7.958 eV/atom
- Energy above the most stable polymorph in this dataset: 16.3 meV/atom

Cell lengths 3.087, 3.087, 5.716 Å; angles 90.00, 90.00, 90.00 degrees
Space group P4/mmm (No. 123)
Asymmetric unit:
V 0.000 0.000 0.000 x1
Cu 0.000 0.000 0.500 x1
Ir 0.500 0.500 0.249 x2

=====

(4)
# Cu2IrW

Crystalline Cu2IrW at its relaxed geometry (PBE, Alexandria).

Computed properties:
- ΔE_f: 85.5 meV/atom
- Calculated total energy: -7.416 eV/atom
- Energy above the most stable polymorph in this dataset: 25.0 meV/atom

Cell lengths 3.820, 3.820, 7.489 Å; angles 90.00, 90.00, 90.00 degrees
Space group I-4m2 (No. 119)
Asymmetric unit:
Cu 0.000 0.000 0.000 x2
Cu 0.000 0.500 0.250 x2
Ir 0.000 0.500 0.750 x2
W 0.000 0.000 0.500 x2

=====

(5)
# CuIr2W2

Crystalline CuIr2W2 at its relaxed geometry (PBE, Alexandria).

Computed properties:
- ΔE_f: 458.4 meV/atom
- Calculated total energy: -9.086 eV/atom
- Energy above the most stable polymorph in this dataset: 365.0 meV/atom

Cell lengths 3.945, 3.945, 11.420 Å; angles 90.00, 90.00, 90.00 degrees
Space group I4/mmm (No. 139)
Asymmetric unit:
Cu 0.000 0.000 0.000 x2
Ir 0.000 0.000 0.394 x4
W 0.000 0.500 0.250 x4

=====

(6)
# CuIr2W2

Crystalline CuIr2W2 at its relaxed geometry (PBE, Alexandria).

Computed properties:
- ΔE_f: 93.4 meV/atom
- Calculated total energy: -9.452 eV/atom
- Energy above the most stable polymorph in this dataset: 0.0 meV/atom

Cell lengths 7.616, 7.616, 2.781 Å; angles 90.00, 90.00, 90.00 degrees
Space group P4/mbm (No. 127)
Asymmetric unit:
Cu 0.000 0.000 0.000 x2
Ir 0.128 0.372 0.000 x4
W 0.166 0.666 0.500 x4